! PBE CoCu2Re, relaxed; values from VASP
&SYSTEM
  ibrav = 0, nat = 4, ntyp = 3
/
ATOMIC_SPECIES
Cu 63.55 Cu.upf
Re 186.21 Re.upf
Co 58.93 Co.upf
ATOMIC_POSITIONS crystal
Cu 0.500 0.500 0.000
Cu 0.000 0.000 0.000
Re 0.500 0.000 0.500
Co 0.000 0.500 0.500
CELL_PARAMETERS angstrom
-1.572 0.798 -4.103
-3.583 -2.516 0.884
-1.239 2.073 0.878
! Excess energy over the best structure of this formula in the dataset, kcal/mol of atoms: 7.12
! Energy relative to the elements, eV per atom: 0.452
! Density of states at the Fermi level, states/eV per cell: 3.31
! Uncorrected energy, eV per atom: -6.4845